DFT (GGA-PBE) results for a relaxed LiTl2Cd crystal.

Cell lengths 11.505, 3.691, 5.093 Å; angles 90.00, 113.45, 90.00 degrees
Space group Cm (No. 8)
One atom of each set of equivalent atoms:
1 Li 0.000 0.000 0.000
2 Tl 0.008 0.500 0.498
3 Tl 0.235 0.500 0.193
4 Cd 0.282 0.000 0.738

Formation enthalpy at 0 K (eV per atom): -0.08
Total energy (eV/atom): -1.97
Calculated volume (Å³/cell): 198


DFT (GGA-PBE) results for a relaxed BaNiW crystal.

Cell lengths 12.312, 4.290, 5.245 Å; angles 90.00, 90.20, 90.00 degrees
Space group Cm (No. 8)
One atom of each set of equivalent atoms:
1 Ba 0.000 0.000 0.000
2 Ba 0.068 0.500 0.494
3 Ni 0.286 0.000 0.237
4 Ni 0.319 0.500 0.495
5 W 0.247 0.500 0.012
6 W 0.283 0.000 0.724

ΔE to the lowest computed polymorph (eV/f.u.): 0.66
Formation enthalpy at 0 K (eV per atom): 0.54
Total energy (eV/atom): -6.35
Calculated volume (Å³/cell): 277


DFT (GGA-PBE) results for a relaxed TcNiP2 crystal.

Cell lengths 7.532, 2.979, 4.666 Å; angles 90.00, 97.58, 90.00 degrees
Space group C2/m (No. 12)
One atom of each set of equivalent atoms:
1 Tc 0.000 0.000 0.000
2 Ni 0.000 0.500 0.500
3 P 0.233 0.500 0.238

ΔE to the lowest computed polymorph (eV/f.u.): 0.69
Formation enthalpy at 0 K (eV per atom): -0.17
Total energy (eV/atom): -6.91
Calculated volume (Å³/cell): 104


DFT (GGA-PBE) results for a relaxed NaAcTmPb crystal.

Cell lengths 7.996, 7.996, 7.996 Å; angles 90.00, 90.00, 90.00 degrees
Space group F-43m (No. 216)
One atom of each set of equivalent atoms:
1 Na 0.000 0.000 0.000
2 Ac 0.250 0.250 0.750
3 Tm 0.250 0.250 0.250
4 Pb 0.000 0.000 0.500

Formation enthalpy at 0 K (eV per atom): -0.10
Total energy (eV/atom): -3.51
Calculated volume (Å³/cell): 511


DFT (GGA-PBE) results for a relaxed Sm2Dy3ScSe6 crystal.

Cell lengths 17.753, 4.067, 8.195 Å; angles 90.00, 103.14, 90.00 degrees
Space group C2/m (No. 12)
One atom of each set of equivalent atoms:
1 Sm 0.168 0.000 0.335
2 Dy 0.000 0.500 0.500
3 Dy 0.172 0.000 0.835
4 Sc 0.000 0.500 0.000
5 Se 0.004 0.000 0.761
6 Se 0.160 0.500 0.074
7 Se 0.164 0.500 0.588

Formation energy from raw total energies (meV/atom): -1735
Total energy (eV/atom): -5.94
Calculated volume (Å³/cell): 576


DFT (GGA-PBE) results for a relaxed MgCoAs2 crystal.

Cell lengths 3.349, 3.349, 6.018 Å; angles 90.00, 90.00, 90.00 degrees
Space group P4mm (No. 99)
One atom of each set of equivalent atoms:
1 Mg 0.000 0.000 0.000
2 Co 0.500 0.500 0.647
3 As 0.000 0.000 0.554
4 As 0.500 0.500 0.240

Formation enthalpy at 0 K (eV per atom): -0.01
Total energy (eV/atom): -4.51
Calculated volume (Å³/cell): 67


DFT (GGA-PBE) results for a relaxed PmSc crystal.

Cell lengths 3.510, 5.562, 5.993 Å; angles 90.00, 90.12, 90.00 degrees
Space group P2_1/m (No. 11)
One atom of each set of equivalent atoms:
1 Pm 0.248 0.250 0.414
2 Sc 0.252 0.750 0.081

ΔE to the lowest computed polymorph (eV/f.u.): 0.05
Formation enthalpy at 0 K (eV per atom): 0.07
Total energy (eV/atom): -5.47
Calculated volume (Å³/cell): 117


DFT (GGA-PBE) results for a relaxed Mg2Fe2Mo crystal.

Cell lengths 3.054, 3.054, 17.928 Å; angles 90.00, 90.00, 90.00 degrees
Space group I4/mmm (No. 139)
One atom of each set of equivalent atoms:
1 Mg 0.000 0.000 0.116
2 Fe 0.000 0.500 0.250
3 Mo 0.000 0.000 0.500

ΔE to the lowest computed polymorph (eV/f.u.): 1.70
Formation enthalpy at 0 K (eV per atom): 0.66
Total energy (eV/atom): -5.53
Calculated volume (Å³/cell): 167


DFT (GGA-PBE) results for a relaxed AcBeSn crystal.

Cell lengths 4.3793, 4.3793, 4.7593 Å; angles 90.00, 90.00, 120.00 degrees
Space group P-6m2 (No. 187)
One atom of each set of equivalent atoms:
1 Ac 0.0000 0.0000 0.0000
2 Be 0.3333 0.6667 0.5000
3 Sn 0.6667 0.3333 0.5000

ΔE to the lowest computed polymorph (eV/f.u.): 0.00
Formation enthalpy at 0 K (eV per atom): -0.41
Total energy (eV/atom): -4.36
Calculated volume (Å³/cell): 79


DFT (GGA-PBE) results for a relaxed CaNd2Hg3 crystal.

Cell lengths 5.3957, 5.3957, 13.2520 Å; angles 90.00, 90.00, 120.00 degrees
Space group P-3m1 (No. 164)
One atom of each set of equivalent atoms:
1 Ca 0.3333 0.6667 0.1662
2 Nd 0.0000 0.0000 0.0000
3 Nd 0.0000 0.0000 0.5000
4 Nd 0.3333 0.6667 0.6718
5 Hg 0.0000 0.0000 0.2484
6 Hg 0.3333 0.6667 0.4159
7 Hg 0.3333 0.6667 0.9172

ΔE to the lowest computed polymorph (eV/f.u.): 0.00
Formation enthalpy at 0 K (eV per atom): -0.52
Total energy (eV/atom): -2.59
Calculated volume (Å³/cell): 334


DFT (GGA-PBE) results for a relaxed AcTbBe2Si2 crystal.

Cell lengths 3.9691, 3.9691, 8.7069 Å; angles 90.00, 90.00, 120.00 degrees
Space group P-3m1 (No. 164)
One atom of each set of equivalent atoms:
1 Ac 0.0000 0.0000 0.0000
2 Tb 0.0000 0.0000 0.5000
3 Be 0.3333 0.6667 0.7278
4 Si 0.3333 0.6667 0.2734

Formation energy from raw total energies (meV/atom): -541
Total energy (eV/atom): -5.05
Calculated volume (Å³/cell): 119


DFT (GGA-PBE) results for a relaxed Pm3TmPt3 crystal.

Cell lengths 9.353, 10.645, 7.226 Å; angles 90.00, 91.07, 90.00 degrees
Space group C2/m (No. 12)
One atom of each set of equivalent atoms:
1 Pm 0.000 0.175 0.000
2 Pm 0.000 0.252 0.500
3 Pm 0.165 0.500 0.880
4 Tm 0.249 0.000 0.619
5 Pt 0.061 0.000 0.310
6 Pt 0.239 0.270 0.214

Formation enthalpy at 0 K (eV per atom): -0.96
Total energy (eV/atom): -6.22
Calculated volume (Å³/cell): 719